VASP calculation (GGA-PBE) on crystalline RbCd2Tc at its relaxed geometry.

The formation energy is 366 kJ/mol of formula units.

a b c (Å): 5.3058 5.3058 5.3058
angles (deg): 60.00 60.00 60.00
Closest atoms and distances in Å follow each position.
Fractional coordinates of all 4 atoms:
Rb 0.0000 0.0000 0.0000  8 Cd 3.25
Cd 0.2500 0.2500 0.2500  4 Tc 3.25, 4 Rb 3.25
Cd 0.7500 0.7500 0.7500  4 Tc 3.25, 4 Rb 3.25
Tc 0.5000 0.5000 0.5000  8 Cd 3.25


VASP calculation (GGA-PBE) on crystalline PIN2F at its relaxed geometry.

For the uncorrected formation energy, the calculation gives 0.670 eV per atom.

a b c (Å): 3.4117 3.4117 6.9516
angles (deg): 90.00 90.00 90.00
Closest atoms and distances in Å follow each position.
Fractional coordinates of all 5 atoms:
P 0.0000 0.0000 0.0000  4 N 1.71
I 0.0000 0.0000 0.5000  4 F 2.41
N 0.0000 0.5000 0.0000  2 P 1.71
N 0.5000 0.0000 0.0000  2 P 1.71
F 0.5000 0.5000 0.5000  4 I 2.41


VASP calculation (GGA-PBE) on crystalline Tb6PmTm12 at its relaxed geometry.

The formation energy is 825 kJ/mol of formula units.

a b c (Å): 9.1727 9.1727 9.1727
angles (deg): 106.76 106.76 106.76
Closest atoms and distances in Å follow each position.
Fractional coordinates of all 19 atoms:
Tb 0.2891 0.6869 0.6869  8 Tm 3.30-3.50, 2 Tb 3.56
Tb 0.3131 0.3131 0.7109  8 Tm 3.30-3.50, 2 Tb 3.56
Tb 0.3131 0.7109 0.3131  8 Tm 3.30-3.50, 2 Tb 3.56
Tb 0.6869 0.2891 0.6869  8 Tm 3.30-3.50, 2 Tb 3.56
Tb 0.6869 0.6869 0.2891  8 Tm 3.30-3.50, 2 Tb 3.56
Tb 0.7109 0.3131 0.3131  8 Tm 3.30-3.50, 2 Tb 3.56
Pm 0.0000 0.0000 0.0000  6 Tm 3.36
Tm 0.1060 0.3399 0.3399  4 Tb 3.33-3.50, 1 Pm 3.36, 4 Tm 3.40-3.44
Tm 0.1121 0.5000 0.8879  3 Tm 3.30-3.40, 4 Tb 3.30-3.43
Tm 0.1121 0.8879 0.5000  3 Tm 3.30-3.40, 4 Tb 3.30-3.43
Tm 0.3399 0.1060 0.3399  4 Tb 3.33-3.50, 1 Pm 3.36, 4 Tm 3.40-3.44
Tm 0.3399 0.3399 0.1060  4 Tb 3.33-3.50, 1 Pm 3.36, 4 Tm 3.40-3.44
Tm 0.5000 0.1121 0.8879  3 Tm 3.30-3.40, 4 Tb 3.30-3.43
Tm 0.5000 0.8879 0.1121  3 Tm 3.30-3.40, 4 Tb 3.30-3.43
Tm 0.6601 0.6601 0.8940  4 Tb 3.33-3.50, 1 Pm 3.36, 4 Tm 3.40-3.44
Tm 0.6601 0.8940 0.6601  4 Tb 3.33-3.50, 1 Pm 3.36, 4 Tm 3.40-3.44
Tm 0.8879 0.1121 0.5000  3 Tm 3.30-3.40, 4 Tb 3.30-3.43
Tm 0.8879 0.5000 0.1121  3 Tm 3.30-3.40, 4 Tb 3.30-3.43
Tm 0.8940 0.6601 0.6601  4 Tb 3.33-3.50, 1 Pm 3.36, 4 Tm 3.40-3.44


no.,excess energy over the best structure of this formula in the dataset (eV per atom)
1,0.083
2,0.000
3,0.288